1.
Computed, not measured: an optimized crystal structure of TeAs3Br at the PBE-GGA level of DFT.

Computed properties:
Crystal system: cubic
DOS(E_F): 0.943 states/eV per atom
DFT total energy: -2.60 eV/atom
Distance to the lowest polymorph of the same formula: 148.8 meV per atom
E_form (uncorrected): 1.15 eV/atom
ρ: 5.349 Mg/m³

```
data_TeAs3Br
_chemical_formula_sum 'Te1 As3 Br1'
_cell_length_a 5.120
_cell_length_b 5.120
_cell_length_c 5.120
_cell_angle_alpha 90.00
_cell_angle_beta 90.00
_cell_angle_gamma 90.00
_space_group_name_H-M_alt 'P m -3 m'
_space_group_IT_number 221
_space_group_name_Hall '-P 4 2 3'
loop_
_atom_site_label
_atom_site_type_symbol
_atom_site_fract_x
_atom_site_fract_y
_atom_site_fract_z
Te1 Te 0.000 0.000 0.000
As1 As 0.000 0.500 0.500
Br1 Br 0.500 0.500 0.500
```


2.
Computed, not measured: an optimized crystal structure of TeAsBr2 at the PBE-GGA level of DFT.

Computed properties:
Crystal system: monoclinic
DOS(E_F): 0.227 states/eV per atom
DFT total energy: -2.96 eV/atom
Distance to the lowest polymorph of the same formula: 0.0 meV per atom
E_form (uncorrected): -0.17 eV/atom
ρ: 3.899 Mg/m³

```
data_TeAsBr2
_chemical_formula_sum 'Te1 As1 Br2'
_cell_length_a 5.939
_cell_length_b 4.010
_cell_length_c 6.481
_cell_angle_alpha 90.00
_cell_angle_beta 91.24
_cell_angle_gamma 90.00
_space_group_name_H-M_alt 'P 1 m 1'
_space_group_IT_number 6
_space_group_name_Hall 'P -2y'
loop_
_atom_site_label
_atom_site_type_symbol
_atom_site_fract_x
_atom_site_fract_y
_atom_site_fract_z
Te1 Te 0.000 0.000 0.000
As1 As 0.125 0.500 0.259
Br1 Br 0.509 0.000 0.023
Br2 Br 0.819 0.500 0.495
```


3.
Computed, not measured: an optimized crystal structure of TeAs2Br2 at the PBE-GGA level of DFT.

Computed properties:
Crystal system: tetragonal
DOS(E_F): 0.382 states/eV per atom
DFT total energy: -3.13 eV/atom
E_form (uncorrected): 0.03 eV/atom
ρ: 5.066 Mg/m³

```
data_TeAs2Br2
_chemical_formula_sum 'Te2 As4 Br4'
_cell_length_a 7.347
_cell_length_b 7.347
_cell_length_c 5.310
_cell_angle_alpha 90.00
_cell_angle_beta 90.00
_cell_angle_gamma 90.00
_space_group_name_H-M_alt 'P 4/m b m'
_space_group_IT_number 127
_space_group_name_Hall '-P 4 2ab'
loop_
_atom_site_label
_atom_site_type_symbol
_atom_site_fract_x
_atom_site_fract_y
_atom_site_fract_z
Te1 Te 0.000 0.000 0.000
As1 As 0.125 0.375 0.000
Br1 Br 0.166 0.334 0.500
```


4.
Computed, not measured: an optimized crystal structure of TeAsBr2 at the PBE-GGA level of DFT.

Computed properties:
Crystal system: trigonal
DOS(E_F): 0.667 states/eV per atom
DFT total energy: -2.47 eV/atom
Distance to the lowest polymorph of the same formula: 481.9 meV per atom
E_form (uncorrected): 0.31 eV/atom
ρ: 5.199 Mg/m³

```
data_TeAsBr2
_chemical_formula_sum 'Te3 As3 Br6'
_cell_length_a 3.8086
_cell_length_b 3.8086
_cell_length_c 27.6355
_cell_angle_alpha 90.00
_cell_angle_beta 90.00
_cell_angle_gamma 120.00
_space_group_name_H-M_alt 'R -3 m'
_space_group_IT_number 166
_space_group_name_Hall '-R 3 2"'
loop_
_atom_site_label
_atom_site_type_symbol
_atom_site_fract_x
_atom_site_fract_y
_atom_site_fract_z
Te1 Te 0.0000 0.0000 0.0000
As1 As 0.0000 0.0000 0.5000
Br1 Br 0.0000 0.0000 0.2276
```


5.
Computed, not measured: an optimized crystal structure of TeAs3Br at the PBE-GGA level of DFT.

Computed properties:
Crystal system: cubic
DOS(E_F): 0.762 states/eV per atom
DFT total energy: -2.75 eV/atom
Distance to the lowest polymorph of the same formula: 0.0 meV per atom
E_form (uncorrected): 1.00 eV/atom
ρ: 4.626 Mg/m³

```
data_TeAs3Br
_chemical_formula_sum 'Te1 As3 Br1'
_cell_length_a 5.373
_cell_length_b 5.373
_cell_length_c 5.373
_cell_angle_alpha 90.00
_cell_angle_beta 90.00
_cell_angle_gamma 90.00
_space_group_name_H-M_alt 'P m -3 m'
_space_group_IT_number 221
_space_group_name_Hall '-P 4 2 3'
loop_
_atom_site_label
_atom_site_type_symbol
_atom_site_fract_x
_atom_site_fract_y
_atom_site_fract_z
Te1 Te 0.000 0.000 0.000
As1 As 0.000 0.000 0.500
Br1 Br 0.500 0.500 0.500
```


6.
Computed, not measured: an optimized crystal structure of Te3As2Br at the PBE-GGA level of DFT.

Computed properties:
Crystal system: monoclinic
DOS(E_F): 0.386 states/eV per atom
DFT total energy: -3.48 eV/atom
E_form (uncorrected): -0.08 eV/atom
ρ: 5.374 Mg/m³

```
data_Te3As2Br
_chemical_formula_sum 'Te12 As8 Br4'
_cell_length_a 16.372
_cell_length_b 3.806
_cell_length_c 14.020
_cell_angle_alpha 90.00
_cell_angle_beta 119.92
_cell_angle_gamma 90.00
_space_group_name_H-M_alt 'C 1 2/m 1'
_space_group_IT_number 12
_space_group_name_Hall '-C 2y'
loop_
_atom_site_label
_atom_site_type_symbol
_atom_site_fract_x
_atom_site_fract_y
_atom_site_fract_z
Te1 Te 0.121 0.000 0.215
Te2 Te 0.126 0.500 0.464
Te3 Te 0.127 0.500 0.969
As1 As 0.237 0.000 0.117
As2 As 0.239 0.500 0.375
Br1 Br 0.132 0.000 0.718
```


7.
Computed, not measured: an optimized crystal structure of TeAsBr2 at the PBE-GGA level of DFT.

Computed properties:
Crystal system: orthorhombic
DOS(E_F): 0.969 states/eV per atom
DFT total energy: -2.59 eV/atom
Distance to the lowest polymorph of the same formula: 368.6 meV per atom
E_form (uncorrected): 0.20 eV/atom
ρ: 4.653 Mg/m³

```
data_TeAsBr2
_chemical_formula_sum 'Te2 As2 Br4'
_cell_length_a 3.477
_cell_length_b 6.121
_cell_length_c 12.151
_cell_angle_alpha 90.00
_cell_angle_beta 90.00
_cell_angle_gamma 90.00
_space_group_name_H-M_alt 'C m m m'
_space_group_IT_number 65
_space_group_name_Hall '-C 2 2'
loop_
_atom_site_label
_atom_site_type_symbol
_atom_site_fract_x
_atom_site_fract_y
_atom_site_fract_z
Te1 Te 0.000 0.000 0.000
As1 As 0.000 0.000 0.500
Br1 Br 0.000 0.500 0.336
```


8.
Computed, not measured: an optimized crystal structure of TeAsBr2 at the PBE-GGA level of DFT.

Computed properties:
Crystal system: cubic
DOS(E_F): 0.709 states/eV per atom
DFT total energy: -2.46 eV/atom
Distance to the lowest polymorph of the same formula: 492.1 meV per atom
E_form (uncorrected): 0.32 eV/atom
ρ: 6.161 Mg/m³

```
data_TeAsBr2
_chemical_formula_sum 'Te4 As4 Br8'
_cell_length_a 7.310
_cell_length_b 7.310
_cell_length_c 7.310
_cell_angle_alpha 90.00
_cell_angle_beta 90.00
_cell_angle_gamma 90.00
_space_group_name_H-M_alt 'F -4 3 m'
_space_group_IT_number 216
_space_group_name_Hall 'F -4 2 3'
loop_
_atom_site_label
_atom_site_type_symbol
_atom_site_fract_x
_atom_site_fract_y
_atom_site_fract_z
Te1 Te 0.000 0.000 0.000
As1 As 0.250 0.250 0.250
Br1 Br 0.000 0.000 0.500
Br2 Br 0.250 0.250 0.750
```